The following is a DFT calculation (PBE with a Hubbard U) of a relaxed structure of LiMnF3.

a = 5.8881 Å, b = 5.8881 Å, c = 5.9007 Å
α = 90.00°, β = 90.00°, γ = 120.00°
Element x y z (fractional)
F 0.6913 0.8456 0.7500
Mn 0.0000 0.0000 0.0000
F 0.1544 0.3087 0.7500
Li 0.3333 0.6667 0.7500
F 0.8456 0.6913 0.2500
F 0.8456 0.1544 0.2500
F 0.3087 0.1544 0.2500
Mn 0.0000 0.0000 0.5000
F 0.1544 0.8456 0.7500
Li 0.6667 0.3333 0.2500

Properties
- Space-group type: P6_3/mmc
- DOS(E_F): 0.000 states/eV per atom
- Energy relative to the lowest polymorph listed for this composition: 69.0 meV/atom



The following is a DFT calculation (PBE with a Hubbard U) of a relaxed structure of FeBiO.

a = 3.4712 Å, b = 3.4712 Å, c = 11.5958 Å
α = 81.39°, β = 81.39°, γ = 60.00°
Element x y z (fractional)
O 0.3675 0.3675 0.8974
O 0.6325 0.6325 0.1026
Fe 0.6953 0.6953 0.9140
Bi 0.1271 0.1271 0.6186
Bi 0.8729 0.8729 0.3814
Fe 0.3047 0.3047 0.0860

Properties
- Space-group type: R-3m
- DOS(E_F): 0.365 states/eV per atom
- Calculated total energy: -5.3334 eV/atom



M_tot list, top to bottom, in Bohr magnetons per cell: 10.00; 8.07